# CsKCd2Bi2 PBE relaxed
# Mass density ... 6.035 g/cm3
# Calculated volume ... 224 Å³/f.u.
# Electronic total energy ... -2.308 eV/atom
data_CsKCd2Bi2
_cell_length_a 5.034
_cell_length_b 5.034
_cell_length_c 8.847
_cell_angle_alpha 90.00
_cell_angle_beta 90.00
_cell_angle_gamma 90.00
_symmetry_space_group_name_H-M 'P 4 m m'
_symmetry_Int_Tables_number 99
loop_
_symmetry_equiv_pos_as_xyz
'x,y,z'
'-y,x,z'
'-x,-y,z'
'y,-x,z'
'-x,y,z'
'y,x,z'
'x,-y,z'
'-y,-x,z'
loop_
_atom_site_label
_atom_site_fract_x
_atom_site_fract_y
_atom_site_fract_z
Cs1 0.000 0.000 0.000
K1 0.500 0.500 0.330
Cd1 0.000 0.500 0.651
Bi1 0.000 0.000 0.447
Bi2 0.500 0.500 0.851

# TlCoW4C2 PBE relaxed
# Mass density ... 15.284 g/cm3
# Calculated volume ... 111 Å³/f.u.
# Electronic total energy ... -9.646 eV/atom
data_TlCoW4C2
_cell_length_a 3.0949
_cell_length_b 3.0949
_cell_length_c 13.3950
_cell_angle_alpha 90.00
_cell_angle_beta 90.00
_cell_angle_gamma 120.00
_symmetry_space_group_name_H-M 'P -6 m 2'
_symmetry_Int_Tables_number 187
_symmetry_space_group_name_Hall 'P -6 2'
loop_
_atom_site_label
_atom_site_fract_x
_atom_site_fract_y
_atom_site_fract_z
Tl1 0.0000 0.0000 0.0000
Co1 0.6667 0.3333 0.5000
W1 0.0000 0.0000 0.3591
W2 0.6667 0.3333 0.1861
C1 0.3333 0.6667 0.2703

# ZnCdTeO PBE relaxed
# Mass density ... 6.004 g/cm3
# Calculated volume ... 89 Å³/f.u.
# Electronic total energy ... -3.007 eV/atom
data_ZnCdTeO
_cell_length_a 4.094
_cell_length_b 4.094
_cell_length_c 10.608
_cell_angle_alpha 90.00
_cell_angle_beta 90.00
_cell_angle_gamma 90.00
_symmetry_space_group_name_H-M 'P 4/n m m'
_symmetry_Int_Tables_number 129
loop_
_symmetry_equiv_pos_as_xyz
'x,y,z'
'-x,-y,-z'
'-y+1/2,x,z'
'y+1/2,-x,-z'
'-x+1/2,-y+1/2,z'
'x+1/2,y+1/2,-z'
'y,-x+1/2,z'
'-y,x+1/2,-z'
'x+1/2,-y,-z'
'-x+1/2,y,z'
'-y,-x,-z'
'y,x,z'
'-x,y+1/2,-z'
'x,-y+1/2,z'
'y+1/2,x+1/2,-z'
'-y+1/2,-x+1/2,z'
loop_
_atom_site_label
_atom_site_fract_x
_atom_site_fract_y
_atom_site_fract_z
Zn1 0.250 0.250 0.115
Cd1 0.250 0.250 0.577
Te1 0.250 0.250 0.851
O1 0.250 0.750 0.500

# HoHfAg4 PBE relaxed
# Mass density ... 10.856 g/cm3
# E_form ... -0.168 eV/atom
# Calculated volume ... 119 Å³/f.u.
data_HoHfAg4
_cell_length_a 3.611
_cell_length_b 3.611
_cell_length_c 9.090
_cell_angle_alpha 90.00
_cell_angle_beta 90.00
_cell_angle_gamma 90.00
_symmetry_space_group_name_H-M 'P 4/m m m'
_symmetry_Int_Tables_number 123
_symmetry_space_group_name_Hall '-P 4 2'
loop_
_atom_site_label
_atom_site_fract_x
_atom_site_fract_y
_atom_site_fract_z
Ho1 0.000 0.000 0.000
Hf1 0.500 0.500 0.500
Ag1 0.000 0.000 0.338
Ag2 0.500 0.500 0.179

# ScUGa PBE relaxed
# Mass density ... 8.032 g/cm3
# Calculated volume ... 73 Å³/f.u.
# Electronic total energy ... -6.225 eV/atom
data_ScUGa
_cell_length_a 6.632
_cell_length_b 6.632
_cell_length_c 6.632
_cell_angle_alpha 90.00
_cell_angle_beta 90.00
_cell_angle_gamma 90.00
_symmetry_space_group_name_H-M 'F -4 3 m'
_symmetry_Int_Tables_number 216
_symmetry_space_group_name_Hall 'F -4 2 3'
loop_
_atom_site_label
_atom_site_fract_x
_atom_site_fract_y
_atom_site_fract_z
Sc1 0.000 0.000 0.000
U1 0.250 0.250 0.250
Ga1 0.250 0.250 0.750

# HfAg2Ir PBE relaxed
# Mass density ... 14.015 g/cm3
# E_form ... -0.170 eV/atom
# Calculated volume ... 69 Å³/f.u.
data_HfAg2Ir
_cell_length_a 6.526
_cell_length_b 6.526
_cell_length_c 6.526
_cell_angle_alpha 90.00
_cell_angle_beta 90.00
_cell_angle_gamma 90.00
_symmetry_space_group_name_H-M 'F -4 3 m'
_symmetry_Int_Tables_number 216
_symmetry_space_group_name_Hall 'F -4 2 3'
loop_
_atom_site_label
_atom_site_fract_x
_atom_site_fract_y
_atom_site_fract_z
Hf1 0.000 0.000 0.000
Ag1 0.000 0.000 0.500
Ag2 0.250 0.250 0.250
Ir1 0.250 0.250 0.750

# SrLiErS3 PBE relaxed
# Mass density ... 4.368 g/cm3
# Calculated volume ... 136 Å³/f.u.
# Electronic total energy ... -5.321 eV/atom
data_SrLiErS3
_cell_length_a 7.585
_cell_length_b 3.960
_cell_length_c 9.423
_cell_angle_alpha 90.00
_cell_angle_beta 105.91
_cell_angle_gamma 90.00
_symmetry_space_group_name_H-M 'P 1 21/m 1'
_symmetry_Int_Tables_number 11
loop_
_symmetry_equiv_pos_as_xyz
'x,y,z'
'-x,-y,-z'
'-x,y+1/2,-z'
'x,-y+1/2,z'
loop_
_atom_site_label
_atom_site_fract_x
_atom_site_fract_y
_atom_site_fract_z
Sr1 0.249 0.250 0.207
Li1 0.414 0.250 0.912
Er1 0.194 0.750 0.653
S1 0.061 0.750 0.355
S2 0.254 0.750 0.956
S3 0.436 0.250 0.667

# Pm6NbO12 PBE relaxed
# Mass density ... 6.837 g/cm3
# Calculated volume ... 280 Å³/f.u.
# Electronic total energy ... -8.360 eV/atom
data_Pm6NbO12
_cell_length_a 10.0596
_cell_length_b 10.0596
_cell_length_c 9.6013
_cell_angle_alpha 90.00
_cell_angle_beta 90.00
_cell_angle_gamma 120.00
_symmetry_space_group_name_H-M 'R -3'
_symmetry_Int_Tables_number 148
_symmetry_space_group_name_Hall '-R 3'
loop_
_atom_site_label
_atom_site_fract_x
_atom_site_fract_y
_atom_site_fract_z
Pm1 0.0513 0.7897 0.1502
Nb1 0.0000 0.0000 0.5000
O1 0.0389 0.8142 0.9022
O2 0.0406 0.8505 0.3905

# PrPdNO PBE relaxed
# Mass density ... 8.020 g/cm3
# Calculated volume ... 57 Å³/f.u.
# Electronic total energy ... -6.823 eV/atom
data_PrPdNO
_cell_length_a 3.886
_cell_length_b 5.329
_cell_length_c 5.545
_cell_angle_alpha 90.00
_cell_angle_beta 90.00
_cell_angle_gamma 90.00
_symmetry_space_group_name_H-M 'P m c 21'
_symmetry_Int_Tables_number 26
loop_
_symmetry_equiv_pos_as_xyz
'x,y,z'
'-x,-y,z+1/2'
'-x,y,z'
'x,-y,z+1/2'
loop_
_atom_site_label
_atom_site_fract_x
_atom_site_fract_y
_atom_site_fract_z
Pr1 0.000 0.193 0.000
Pd1 0.500 0.343 0.504
N1 0.000 0.333 0.576
O1 0.500 0.055 0.240

# AsIrPdO PBE relaxed
# Mass density ... 9.943 g/cm3
# Calculated volume ... 65 Å³/f.u.
# Electronic total energy ... -6.017 eV/atom
data_AsIrPdO
_cell_length_a 4.039
_cell_length_b 4.039
_cell_length_c 7.974
_cell_angle_alpha 90.00
_cell_angle_beta 90.00
_cell_angle_gamma 90.00
_symmetry_space_group_name_H-M 'P 4/n m m'
_symmetry_Int_Tables_number 129
loop_
_symmetry_equiv_pos_as_xyz
'x,y,z'
'-x,-y,-z'
'-y+1/2,x,z'
'y+1/2,-x,-z'
'-x+1/2,-y+1/2,z'
'x+1/2,y+1/2,-z'
'y,-x+1/2,z'
'-y,x+1/2,-z'
'x+1/2,-y,-z'
'-x+1/2,y,z'
'-y,-x,-z'
'y,x,z'
'-x,y+1/2,-z'
'x,-y+1/2,z'
'y+1/2,x+1/2,-z'
'-y+1/2,-x+1/2,z'
loop_
_atom_site_label
_atom_site_fract_x
_atom_site_fract_y
_atom_site_fract_z
As1 0.250 0.250 0.178
Ir1 0.250 0.750 0.000
Pd1 0.250 0.250 0.567
O1 0.250 0.750 0.500

# NbTcB PBE relaxed
# Mass density ... 7.083 g/cm3
# Calculated volume ... 47 Å³/f.u.
# Electronic total energy ... -8.175 eV/atom
data_NbTcB
_cell_length_a 5.740
_cell_length_b 5.740
_cell_length_c 5.740
_cell_angle_alpha 90.00
_cell_angle_beta 90.00
_cell_angle_gamma 90.00
_symmetry_space_group_name_H-M 'F -4 3 m'
_symmetry_Int_Tables_number 216
_symmetry_space_group_name_Hall 'F -4 2 3'
loop_
_atom_site_label
_atom_site_fract_x
_atom_site_fract_y
_atom_site_fract_z
Nb1 0.000 0.000 0.000
Tc1 0.250 0.250 0.750
B1 0.000 0.000 0.500

# DyHoZr PBE relaxed
# Mass density ... 7.150 g/cm3
# E_form ... 0.945 eV/atom
# Calculated volume ... 97 Å³/f.u.
data_DyHoZr
_cell_length_a 7.299
_cell_length_b 7.299
_cell_length_c 7.299
_cell_angle_alpha 90.00
_cell_angle_beta 90.00
_cell_angle_gamma 90.00
_symmetry_space_group_name_H-M 'F -4 3 m'
_symmetry_Int_Tables_number 216
_symmetry_space_group_name_Hall 'F -4 2 3'
loop_
_atom_site_label
_atom_site_fract_x
_atom_site_fract_y
_atom_site_fract_z
Dy1 0.000 0.000 0.000
Ho1 0.250 0.250 0.250
Zr1 0.000 0.000 0.500

# NaLaCdS3 PBE relaxed
# Mass density ... 4.154 g/cm3
# Calculated volume ... 148 Å³/f.u.
# Electronic total energy ... -4.638 eV/atom
data_NaLaCdS3
_cell_length_a 11.915
_cell_length_b 4.223
_cell_length_c 11.772
_cell_angle_alpha 90.00
_cell_angle_beta 90.00
_cell_angle_gamma 90.00
_symmetry_space_group_name_H-M 'P n m a'
_symmetry_Int_Tables_number 62
loop_
_symmetry_equiv_pos_as_xyz
'x,y,z'
'-x,-y,-z'
'-x+1/2,-y,z+1/2'
'x+1/2,y,-z+1/2'
'x+1/2,-y+1/2,-z+1/2'
'-x+1/2,y+1/2,z+1/2'
'-x,y+1/2,-z'
'x,-y+1/2,z'
loop_
_atom_site_label
_atom_site_fract_x
_atom_site_fract_y
_atom_site_fract_z
Na1 0.133 0.250 0.010
La1 0.031 0.250 0.676
Cd1 0.240 0.250 0.289
S1 0.058 0.750 0.848
S2 0.089 0.250 0.434
S3 0.218 0.750 0.167

# BaCuP PBE relaxed
# Mass density ... 5.491 g/cm3
# Calculated volume ... 70 Å³/f.u.
# Electronic total energy ... -4.089 eV/atom
data_BaCuP
_cell_length_a 7.3315
_cell_length_b 7.3315
_cell_length_c 4.5184
_cell_angle_alpha 90.00
_cell_angle_beta 90.00
_cell_angle_gamma 120.00
_symmetry_space_group_name_H-M 'P -6 2 m'
_symmetry_Int_Tables_number 189
_symmetry_space_group_name_Hall 'P -6 -2'
loop_
_atom_site_label
_atom_site_fract_x
_atom_site_fract_y
_atom_site_fract_z
Ba1 0.0000 0.5769 0.0000
Cu1 0.0000 0.2144 0.5000
P1 0.0000 0.0000 0.0000
P2 0.3333 0.6667 0.5000

# Cu3Ag PBE relaxed
# Mass density ... 9.285 g/cm3
# E_form ... 0.082 eV/atom
# Calculated volume ... 53 Å³/f.u.
data_Cu3Ag
_cell_length_a 4.583
_cell_length_b 2.700
_cell_length_c 8.805
_cell_angle_alpha 90.00
_cell_angle_beta 101.46
_cell_angle_gamma 90.00
_symmetry_space_group_name_H-M 'P 1 2/m 1'
_symmetry_Int_Tables_number 10
loop_
_symmetry_equiv_pos_as_xyz
'x,y,z'
'-x,-y,-z'
'-x,y,-z'
'x,-y,z'
loop_
_atom_site_label
_atom_site_fract_x
_atom_site_fract_y
_atom_site_fract_z
Cu1 0.119 0.000 0.380
Cu2 0.124 0.500 0.860
Cu3 0.366 0.500 0.613
Ag1 0.368 0.000 0.130

# GdZrB PBE relaxed
# Mass density ... 7.270 g/cm3
# Calculated volume ... 59 Å³/f.u.
# Electronic total energy ... -6.534 eV/atom
data_GdZrB
_cell_length_a 6.188
_cell_length_b 6.188
_cell_length_c 6.188
_cell_angle_alpha 90.00
_cell_angle_beta 90.00
_cell_angle_gamma 90.00
_symmetry_space_group_name_H-M 'F -4 3 m'
_symmetry_Int_Tables_number 216
_symmetry_space_group_name_Hall 'F -4 2 3'
loop_
_atom_site_label
_atom_site_fract_x
_atom_site_fract_y
_atom_site_fract_z
Gd1 0.000 0.000 0.000
Zr1 0.000 0.000 0.500
B1 0.250 0.250 0.250

# Y4Nb2Fe3C3 PBE relaxed
# Mass density ... 5.875 g/cm3
# Calculated volume ... 211 Å³/f.u.
# Electronic total energy ... -8.349 eV/atom
data_Y4Nb2Fe3C3
_cell_length_a 10.233
_cell_length_b 5.921
_cell_length_c 14.357
_cell_angle_alpha 90.00
_cell_angle_beta 104.46
_cell_angle_gamma 90.00
_symmetry_space_group_name_H-M 'C 1 2/c 1'
_symmetry_Int_Tables_number 15
loop_
_symmetry_equiv_pos_as_xyz
'x,y,z'
'-x,-y,-z'
'-x,y,-z+1/2'
'x,-y,z+1/2'
'x+1/2,y+1/2,z'
'-x+1/2,-y+1/2,-z'
'-x+1/2,y+1/2,-z+1/2'
'x+1/2,-y+1/2,z+1/2'
loop_
_atom_site_label
_atom_site_fract_x
_atom_site_fract_y
_atom_site_fract_z
Y1 0.120 0.074 0.108
Y2 0.208 0.088 0.392
Nb1 0.064 0.411 0.925
Fe1 0.000 0.366 0.250
Fe2 0.110 0.304 0.749
C1 0.076 0.273 0.500
C2 0.250 0.250 0.000

# Ho2Ge2O7 PBE relaxed
# Mass density ... 7.097 g/cm3
# Calculated volume ... 137 Å³/f.u.
# Electronic total energy ... -7.408 eV/atom
data_Ho2Ge2O7
_cell_length_a 6.686
_cell_length_b 6.687
_cell_length_c 6.815
_cell_angle_alpha 86.06
_cell_angle_beta 64.80
_cell_angle_gamma 86.02
_symmetry_space_group_name_H-M 'P 1'
_symmetry_Int_Tables_number 1
loop_
_symmetry_equiv_pos_as_xyz
'x,y,z'
loop_
_atom_site_label
_atom_site_fract_x
_atom_site_fract_y
_atom_site_fract_z
Ho1 0.000 0.000 0.000
Ho2 0.023 0.689 0.498
Ho3 0.493 0.941 0.501
Ho4 0.566 0.409 0.147
Ge1 0.003 0.189 0.498
Ge2 0.118 0.521 0.968
Ge3 0.530 0.877 0.016
Ge4 0.552 0.442 0.645
O1 0.035 0.711 0.148
O2 0.124 0.014 0.631
O3 0.177 0.378 0.344
O4 0.233 0.607 0.691
O5 0.383 0.972 0.868
O6 0.389 0.419 0.933
O7 0.396 0.735 0.267
O8 0.524 0.279 0.473
O9 0.618 0.067 0.132
O10 0.678 0.664 0.519
O11 0.776 0.729 0.884
O12 0.786 0.329 0.701
O13 0.907 0.012 0.381
O14 0.934 0.329 0.043

# YCdPdAu PBE relaxed
# Mass density ... 10.330 g/cm3
# E_form ... -0.519 eV/atom
# Calculated volume ... 81 Å³/f.u.
data_YCdPdAu
_cell_length_a 6.872
_cell_length_b 6.872
_cell_length_c 6.872
_cell_angle_alpha 90.00
_cell_angle_beta 90.00
_cell_angle_gamma 90.00
_symmetry_space_group_name_H-M 'F -4 3 m'
_symmetry_Int_Tables_number 216
_symmetry_space_group_name_Hall 'F -4 2 3'
loop_
_atom_site_label
_atom_site_fract_x
_atom_site_fract_y
_atom_site_fract_z
Y1 0.000 0.000 0.000
Cd1 0.250 0.250 0.750
Pd1 0.250 0.250 0.250
Au1 0.000 0.000 0.500

# Zn2SbW PBE relaxed
# Mass density ... 10.338 g/cm3
# Calculated volume ... 70 Å³/f.u.
# Electronic total energy ... -4.214 eV/atom
data_Zn2SbW
_cell_length_a 6.545
_cell_length_b 6.545
_cell_length_c 6.545
_cell_angle_alpha 90.00
_cell_angle_beta 90.00
_cell_angle_gamma 90.00
_symmetry_space_group_name_H-M 'F -4 3 m'
_symmetry_Int_Tables_number 216
_symmetry_space_group_name_Hall 'F -4 2 3'
loop_
_atom_site_label
_atom_site_fract_x
_atom_site_fract_y
_atom_site_fract_z
Zn1 0.000 0.000 0.000
Zn2 0.250 0.250 0.250
Sb1 0.000 0.000 0.500
W1 0.250 0.250 0.750